Material: TiCu2Sn
Method: DFT, GGA-PBE
State: relaxed

Calculated values
**ΔE_f**: -5.6 meV per atom
**E_tot**: -5.0281 eV/atom

```
data_TiCu2Sn
_chemical_formula_sum 'Ti1 Cu2 Sn1'
_cell_length_a 3.344
_cell_length_b 3.344
_cell_length_c 5.864
_cell_angle_alpha 90.00
_cell_angle_beta 90.00
_cell_angle_gamma 90.00
_space_group_name_H-M_alt 'P 4/m m m'
_space_group_IT_number 123
_space_group_name_Hall '-P 4 2'
loop_
_atom_site_label
_atom_site_type_symbol
_atom_site_fract_x
_atom_site_fract_y
_atom_site_fract_z
Ti1 Ti 0.000 0.000 0.000
Cu1 Cu 0.500 0.500 0.220
Sn1 Sn 0.000 0.000 0.500
```


Material: SbIr
Method: DFT, GGA-PBE
State: relaxed

Calculated values
**E_form (uncorrected)**: -0.018 eV per atom
**E_tot**: -6.5095 eV/atom

```
data_SbIr
_chemical_formula_sum 'Sb2 Ir2'
_cell_length_a 3.747
_cell_length_b 3.747
_cell_length_c 5.427
_cell_angle_alpha 90.00
_cell_angle_beta 90.00
_cell_angle_gamma 90.00
_space_group_name_H-M_alt 'P 4/n m m'
_space_group_IT_number 129
loop_
_space_group_symop_operation_xyz
'x,y,z'
'-x,-y,-z'
'-y+1/2,x,z'
'y+1/2,-x,-z'
'-x+1/2,-y+1/2,z'
'x+1/2,y+1/2,-z'
'y,-x+1/2,z'
'-y,x+1/2,-z'
'x+1/2,-y,-z'
'-x+1/2,y,z'
'-y,-x,-z'
'y,x,z'
'-x,y+1/2,-z'
'x,-y+1/2,z'
'y+1/2,x+1/2,-z'
'-y+1/2,-x+1/2,z'
loop_
_atom_site_label
_atom_site_type_symbol
_atom_site_fract_x
_atom_site_fract_y
_atom_site_fract_z
Sb1 Sb 0.250 0.250 0.188
Ir1 Ir 0.250 0.250 0.680
```


Material: Ba3SmEr3Te8
Method: DFT, GGA-PBE
State: relaxed

Calculated values
**E_form (uncorrected)**: -1.519 eV per atom
**E_tot**: -4.8065 eV/atom

```
data_Ba3SmEr3Te8
_chemical_formula_sum 'Ba9 Sm3 Er9 Te24'
_cell_length_a 8.9745
_cell_length_b 8.9745
_cell_length_c 23.8762
_cell_angle_alpha 90.00
_cell_angle_beta 90.00
_cell_angle_gamma 120.00
_space_group_name_H-M_alt 'R -3 m'
_space_group_IT_number 166
_space_group_name_Hall '-R 3 2"'
loop_
_atom_site_label
_atom_site_type_symbol
_atom_site_fract_x
_atom_site_fract_y
_atom_site_fract_z
Ba1 Ba 0.0000 0.5000 0.0000
Sm1 Sm 0.0000 0.0000 0.5000
Er1 Er 0.0000 0.5000 0.5000
Te1 Te 0.0000 0.0000 0.2378
Te2 Te 0.0114 0.5057 0.7608
```


Material: LiCaPm
Method: DFT, GGA-PBE
State: relaxed

Calculated values
**ΔE_f**: 42.2 meV per atom
**ΔE to the lowest computed polymorph**: 0 meV/atom
**E_tot**: -2.8465 eV/atom

```
data_LiCaPm
_chemical_formula_sum 'Li2 Ca2 Pm2'
_cell_length_a 5.811
_cell_length_b 3.597
_cell_length_c 9.183
_cell_angle_alpha 90.00
_cell_angle_beta 99.85
_cell_angle_gamma 90.00
_space_group_name_H-M_alt 'P 1 21/m 1'
_space_group_IT_number 11
loop_
_space_group_symop_operation_xyz
'x,y,z'
'-x,-y,-z'
'-x,y+1/2,-z'
'x,-y+1/2,z'
loop_
_atom_site_label
_atom_site_type_symbol
_atom_site_fract_x
_atom_site_fract_y
_atom_site_fract_z
Li1 Li 0.123 0.250 0.125
Ca1 Ca 0.348 0.250 0.809
Pm1 Pm 0.234 0.750 0.444
```


Material: BaTbO3
Method: DFT, GGA-PBE
State: relaxed

Calculated values
**E_form (uncorrected)**: -2.708 eV per atom
**E_tot**: -6.9940 eV/atom

```
data_BaTbO3
_chemical_formula_sum 'Ba4 Tb4 O12'
_cell_length_a 6.285
_cell_length_b 8.851
_cell_length_c 6.274
_cell_angle_alpha 90.00
_cell_angle_beta 90.00
_cell_angle_gamma 90.00
_space_group_name_H-M_alt 'P n m a'
_space_group_IT_number 62
loop_
_space_group_symop_operation_xyz
'x,y,z'
'-x,-y,-z'
'-x+1/2,-y,z+1/2'
'x+1/2,y,-z+1/2'
'x+1/2,-y+1/2,-z+1/2'
'-x+1/2,y+1/2,z+1/2'
'-x,y+1/2,-z'
'x,-y+1/2,z'
loop_
_atom_site_label
_atom_site_type_symbol
_atom_site_fract_x
_atom_site_fract_y
_atom_site_fract_z
Ba1 Ba 0.027 0.250 0.009
Tb1 Tb 0.000 0.000 0.500
O1 O 0.023 0.750 0.421
O2 O 0.223 0.544 0.777
```


Material: Ti3Mo2W
Method: DFT, GGA-PBE
State: relaxed

Calculated values
**ΔE_f**: 98.2 meV per atom
**ΔE to the lowest computed polymorph**: 0 meV/atom
**E_tot**: -9.6185 eV/atom

```
data_Ti3Mo2W
_chemical_formula_sum 'Ti12 Mo8 W4'
_cell_length_a 13.615
_cell_length_b 4.473
_cell_length_c 6.774
_cell_angle_alpha 90.00
_cell_angle_beta 99.07
_cell_angle_gamma 90.00
_space_group_name_H-M_alt 'C 1 2/m 1'
_space_group_IT_number 12
loop_
_space_group_symop_operation_xyz
'x,y,z'
'-x,-y,-z'
'-x,y,-z'
'x,-y,z'
'x+1/2,y+1/2,z'
'-x+1/2,-y+1/2,-z'
'-x+1/2,y+1/2,-z'
'x+1/2,-y+1/2,z'
loop_
_atom_site_label
_atom_site_type_symbol
_atom_site_fract_x
_atom_site_fract_y
_atom_site_fract_z
Ti1 Ti 0.069 0.000 0.348
Ti2 Ti 0.112 0.500 0.061
Ti3 Ti 0.192 0.500 0.465
Mo1 Mo 0.042 0.500 0.679
Mo2 Mo 0.231 0.000 0.154
W1 W 0.155 0.000 0.771
```


Material: Gd2ReH
Method: DFT, GGA-PBE
State: relaxed

Calculated values
**E_tot**: -10.4425 eV/atom

```
data_Gd2ReH
_chemical_formula_sum 'Gd6 Re3 H3'
_cell_length_a 3.0642
_cell_length_b 3.0642
_cell_length_c 26.4090
_cell_angle_alpha 90.00
_cell_angle_beta 90.00
_cell_angle_gamma 120.00
_space_group_name_H-M_alt 'R -3 m'
_space_group_IT_number 166
_space_group_name_Hall '-R 3 2"'
loop_
_atom_site_label
_atom_site_type_symbol
_atom_site_fract_x
_atom_site_fract_y
_atom_site_fract_z
Gd1 Gd 0.0000 0.0000 0.1045
Re1 Re 0.0000 0.0000 0.0000
H1 H 0.0000 0.0000 0.5000
```


Material: Tm2ThTl
Method: DFT, GGA-PBE
State: relaxed

Calculated values
**ΔE_f**: -81.3 meV per atom
**ΔE to the lowest computed polymorph**: 101 meV/atom
**E_tot**: -4.7635 eV/atom

```
data_Tm2ThTl
_chemical_formula_sum 'Tm6 Th3 Tl3'
_cell_length_a 3.5497
_cell_length_b 3.5497
_cell_length_c 32.6722
_cell_angle_alpha 90.00
_cell_angle_beta 90.00
_cell_angle_gamma 120.00
_space_group_name_H-M_alt 'R 3 m'
_space_group_IT_number 160
_space_group_name_Hall 'R 3 -2"'
loop_
_atom_site_label
_atom_site_type_symbol
_atom_site_fract_x
_atom_site_fract_y
_atom_site_fract_z
Tm1 Tm 0.0000 0.0000 0.0000
Tm2 Tm 0.0000 0.0000 0.1771
Th1 Th 0.0000 0.0000 0.4220
Tl1 Tl 0.0000 0.0000 0.5883
```


Material: Y2Er6Tm3
Method: DFT, GGA-PBE
State: relaxed

Calculated values
**ΔE_f**: 297.8 meV per atom
**ΔE to the lowest computed polymorph**: 270 meV/atom
**E_tot**: -4.5859 eV/atom

```
data_Y2Er6Tm3
_chemical_formula_sum 'Y4 Er12 Tm6'
_cell_length_a 4.668
_cell_length_b 4.668
_cell_length_c 33.004
_cell_angle_alpha 90.00
_cell_angle_beta 90.00
_cell_angle_gamma 90.00
_space_group_name_H-M_alt 'I 4/m m m'
_space_group_IT_number 139
_space_group_name_Hall '-I 4 2'
loop_
_atom_site_label
_atom_site_type_symbol
_atom_site_fract_x
_atom_site_fract_y
_atom_site_fract_z
Y1 Y 0.000 0.000 0.046
Er1 Er 0.000 0.000 0.197
Er2 Er 0.000 0.500 0.123
Tm1 Tm 0.000 0.000 0.300
Tm2 Tm 0.000 0.000 0.500
```


Material: PuCd2Sn
Method: DFT, GGA-PBE
State: relaxed

Calculated values
**ΔE_f**: -174.4 meV per atom
**ΔE to the lowest computed polymorph**: 0 meV/atom
**E_tot**: -5.2157 eV/atom

```
data_PuCd2Sn
_chemical_formula_sum 'Pu1 Cd2 Sn1'
_cell_length_a 4.509
_cell_length_b 4.509
_cell_length_c 4.920
_cell_angle_alpha 90.00
_cell_angle_beta 90.00
_cell_angle_gamma 90.00
_space_group_name_H-M_alt 'P 4/m m m'
_space_group_IT_number 123
_space_group_name_Hall '-P 4 2'
loop_
_atom_site_label
_atom_site_type_symbol
_atom_site_fract_x
_atom_site_fract_y
_atom_site_fract_z
Pu1 Pu 0.000 0.000 0.000
Cd1 Cd 0.000 0.500 0.500
Sn1 Sn 0.500 0.500 0.000
```


Material: VCr3Mo
Method: DFT, GGA-PBE
State: relaxed

Calculated values
**ΔE_f**: 813.9 meV per atom
**ΔE to the lowest computed polymorph**: 608 meV/atom
**E_tot**: -8.9500 eV/atom

```
data_VCr3Mo
_chemical_formula_sum 'V6 Cr18 Mo6'
_cell_length_a 6.0578
_cell_length_b 6.0578
_cell_length_c 13.4634
_cell_angle_alpha 90.00
_cell_angle_beta 90.00
_cell_angle_gamma 120.00
_space_group_name_H-M_alt 'R -3'
_space_group_IT_number 148
_space_group_name_Hall '-R 3'
loop_
_atom_site_label
_atom_site_type_symbol
_atom_site_fract_x
_atom_site_fract_y
_atom_site_fract_z
V1 V 0.0000 0.0000 0.0891
Cr1 Cr 0.0134 0.2396 0.7511
Mo1 Mo 0.0000 0.0000 0.4083
```


Material: AcInSbTe
Method: DFT, GGA-PBE
State: relaxed

Calculated values
**E_form (uncorrected)**: -0.646 eV per atom
**E_tot**: -4.1736 eV/atom

```
data_AcInSbTe
_chemical_formula_sum 'Ac4 In4 Sb4 Te4'
_cell_length_a 8.015
_cell_length_b 8.015
_cell_length_c 8.015
_cell_angle_alpha 90.00
_cell_angle_beta 90.00
_cell_angle_gamma 90.00
_space_group_name_H-M_alt 'F -4 3 m'
_space_group_IT_number 216
_space_group_name_Hall 'F -4 2 3'
loop_
_atom_site_label
_atom_site_type_symbol
_atom_site_fract_x
_atom_site_fract_y
_atom_site_fract_z
Ac1 Ac 0.000 0.000 0.000
In1 In 0.000 0.000 0.500
Sb1 Sb 0.250 0.250 0.250
Te1 Te 0.250 0.250 0.750
```